Record 1
{"formula": "ScBeRe2", "functional": "GGA-PBE", "state": "relaxed", "lattice_angstrom": [[5.246, 0.000, 0.000], [0.000, 8.523, 0.000], [0.000, 0.000, 2.703]], "species": ["Sc", "Sc", "Be", "Be", "Re", "Re", "Re", "Re"], "frac_coords": [[0.000, 0.000, 0.000], [0.500, 0.500, 0.000], [0.000, 0.500, 0.000], [0.500, 0.000, 0.000], [0.250, 0.250, 0.500], [0.250, 0.750, 0.500], [0.750, 0.250, 0.500], [0.750, 0.750, 0.500]], "dft_energy_ev_per_atom": -8.396, "sg": "Cmmm, No. 65", "ef_kj_per_mol_atoms": 33}

---

Record 2
{"formula": "CdGeCl2", "functional": "GGA-PBE", "state": "relaxed", "lattice_angstrom": [[7.160, 0.000, 0.000], [0.000, 7.160, 0.000], [0.000, 0.000, 7.160]], "species": ["Cd", "Cd", "Cd", "Cd", "Ge", "Ge", "Ge", "Ge", "Cl", "Cl", "Cl", "Cl", "Cl", "Cl", "Cl", "Cl"], "frac_coords": [[0.000, 0.000, 0.000], [0.000, 0.500, 0.500], [0.500, 0.000, 0.500], [0.500, 0.500, 0.000], [0.000, 0.000, 0.500], [0.000, 0.500, 0.000], [0.500, 0.000, 0.000], [0.500, 0.500, 0.500], [0.250, 0.250, 0.250], [0.250, 0.250, 0.750], [0.250, 0.750, 0.250], [0.250, 0.750, 0.750], [0.750, 0.250, 0.250], [0.750, 0.250, 0.750], [0.750, 0.750, 0.250], [0.750, 0.750, 0.750]], "polymorph_energy_ev_per_fu": 0.87, "dft_energy_ev_per_atom": -2.408, "formation_energy_uncorrected_kcal_per_mol_atoms": -2.3, "sg": "Fm-3m, No. 225"}

---

Record 3
{"formula": "RbReI2N", "functional": "GGA-PBE", "state": "relaxed", "lattice_angstrom": [[6.793, 0.000, 0.000], [0.000, 6.793, 0.000], [0.000, 0.000, 5.439]], "species": ["Rb", "Re", "I", "I", "N"], "frac_coords": [[0.000, 0.000, 0.000], [0.500, 0.500, 0.500], [0.000, 0.500, 0.000], [0.500, 0.000, 0.000], [0.000, 0.000, 0.500]], "polymorph_energy_ev_per_fu": 10.08, "dft_energy_ev_per_atom": -3.019, "formation_energy_uncorrected_kcal_per_mol_atoms": 45.0, "sg": "P4/mmm, No. 123"}

---

Record 4
{"formula": "Li2SiSe", "functional": "GGA-PBE", "state": "relaxed", "lattice_angstrom": [[5.827, 0.000, 0.000], [0.000, 8.031, 0.000], [-0.140, 0.000, 2.794]], "species": ["Li", "Li", "Li", "Li", "Si", "Si", "Se", "Se"], "frac_coords": [[0.250, 0.250, 0.000], [0.250, 0.750, 0.000], [0.750, 0.250, 0.000], [0.750, 0.750, 0.000], [0.000, 0.000, 0.500], [0.500, 0.500, 0.500], [0.000, 0.500, 0.500], [0.500, 0.000, 0.500]], "polymorph_energy_ev_per_fu": 0.52, "dft_energy_ev_per_atom": -3.529, "formation_energy_uncorrected_kcal_per_mol_atoms": -8.0, "sg": "C2/m, No. 12"}

---

Record 5
{"formula": "Sm7Al2Cu2", "functional": "GGA-PBE", "state": "relaxed", "lattice_angstrom": [[3.980, -5.591, 0.000], [3.980, 5.591, 0.000], [0.000, 0.000, 7.067]], "species": ["Sm", "Sm", "Sm", "Sm", "Sm", "Sm", "Sm", "Al", "Al", "Cu", "Cu"], "frac_coords": [[0.000, 0.000, 0.000], [0.000, 0.500, 0.266], [0.000, 0.500, 0.734], [0.500, 0.000, 0.266], [0.500, 0.000, 0.734], [0.500, 0.500, 0.254], [0.500, 0.500, 0.746], [0.163, 0.163, 0.500], [0.837, 0.837, 0.500], [0.293, 0.707, 0.000], [0.707, 0.293, 0.000]], "dft_energy_ev_per_atom": -4.437, "sg": "Cmmm, No. 65", "ef_kj_per_mol_atoms": -1}

---

Record 6
{"formula": "Na2P2HS6", "functional": "GGA-PBE", "state": "relaxed", "lattice_angstrom": [[3.335, 1.925, 7.115], [-3.335, 1.925, 7.115], [0.000, -3.851, 7.115]], "species": ["Na", "Na", "P", "P", "H", "S", "S", "S", "S", "S", "S"], "frac_coords": [[0.243, 0.243, 0.243], [0.757, 0.757, 0.757], [0.416, 0.416, 0.416], [0.584, 0.584, 0.584], [0.000, 0.000, 0.000], [0.242, 0.242, 0.752], [0.242, 0.752, 0.242], [0.248, 0.758, 0.758], [0.752, 0.242, 0.242], [0.758, 0.248, 0.758], [0.758, 0.758, 0.248]], "dft_energy_ev_per_atom": -3.961, "sg": "R-3m, No. 166"}

---

Record 7
{"formula": "CuOsBr2", "functional": "GGA-PBE", "state": "relaxed", "lattice_angstrom": [[6.569, 0.000, 0.000], [0.000, 6.601, 0.000], [0.000, 0.000, 3.179]], "species": ["Cu", "Cu", "Os", "Os", "Br", "Br", "Br", "Br"], "frac_coords": [[0.000, 0.000, 0.000], [0.500, 0.500, 0.000], [0.000, 0.500, 0.000], [0.500, 0.000, 0.000], [0.250, 0.250, 0.500], [0.250, 0.750, 0.500], [0.750, 0.250, 0.500], [0.750, 0.750, 0.500]], "polymorph_energy_ev_per_fu": 2.75, "dft_energy_ev_per_atom": -3.559, "formation_energy_uncorrected_kcal_per_mol_atoms": 25.6, "sg": "Cmmm, No. 65"}

---

Record 8
{"formula": "Rb2TaCl6O", "functional": "GGA-PBE", "state": "relaxed", "lattice_angstrom": [[-3.949, 3.949, 4.547], [3.949, -3.949, 4.547], [3.949, 3.949, -4.547]], "species": ["Rb", "Rb", "Ta", "Cl", "Cl", "Cl", "Cl", "Cl", "Cl", "O"], "frac_coords": [[0.250, 0.750, 0.500], [0.750, 0.250, 0.500], [0.000, 0.000, 0.000], [0.216, 0.216, 0.433], [0.216, 0.784, 0.000], [0.261, 0.261, 0.000], [0.739, 0.739, 0.000], [0.784, 0.216, 0.000], [0.784, 0.784, 0.567], [0.500, 0.500, 0.000]], "dft_energy_ev_per_atom": -4.153, "formation_energy_uncorrected_kcal_per_mol_atoms": -27.0, "sg": "I4/mmm, No. 139"}

---

Record 9
{"formula": "Sr3TiO5", "functional": "GGA-PBE", "state": "relaxed", "lattice_angstrom": [[-3.490, 3.490, 5.775], [3.490, -3.490, 5.775], [3.490, 3.490, -5.775]], "species": ["Sr", "Sr", "Sr", "Sr", "Sr", "Sr", "Ti", "Ti", "O", "O", "O", "O", "O", "O", "O", "O", "O", "O"], "frac_coords": [[0.181, 0.681, 0.863], [0.250, 0.250, 0.000], [0.319, 0.181, 0.500], [0.681, 0.819, 0.500], [0.750, 0.750, 0.000], [0.819, 0.319, 0.137], [0.250, 0.750, 0.500], [0.750, 0.250, 0.500], [0.000, 0.000, 0.000], [0.008, 0.798, 0.500], [0.202, 0.702, 0.210], [0.298, 0.508, 0.500], [0.492, 0.992, 0.790], [0.500, 0.500, 0.000], [0.508, 0.008, 0.210], [0.702, 0.492, 0.500], [0.798, 0.298, 0.790], [0.992, 0.202, 0.500]], "dft_energy_ev_per_atom": -7.125, "formation_energy_uncorrected_kcal_per_mol_atoms": -67.6, "sg": "I4/mcm, No. 140"}

---

Record 10
{"formula": "NdThZn2", "functional": "GGA-PBE", "state": "relaxed", "lattice_angstrom": [[5.190, 0.000, 0.000], [0.000, 3.668, 0.000], [0.000, 0.000, 10.411]], "species": ["Nd", "Nd", "Th", "Th", "Zn", "Zn", "Zn", "Zn"], "frac_coords": [[0.250, 0.000, 0.124], [0.750, 0.000, 0.876], [0.250, 0.000, 0.621], [0.750, 0.000, 0.379], [0.250, 0.500, 0.370], [0.250, 0.500, 0.871], [0.750, 0.500, 0.129], [0.750, 0.500, 0.630]], "polymorph_energy_ev_per_fu": 0.00, "dft_energy_ev_per_atom": -3.924, "sg": "Pmma, No. 51", "ef_kj_per_mol_atoms": -23}